(1)
Crystalline Nd3DyHg6 at its relaxed geometry, computed with PBE.

Energy of formation from the pure elements in meV/atom: -431.1

a = 9.445 Å, b = 5.218 Å, c = 11.289 Å
α = 90.00°, β = 106.26°, γ = 90.00°
Space group P2_1/m (No. 11)
One atom of each set of equivalent atoms:
1 Nd 0.011 0.250 0.386 [2 per cell]
2 Nd 0.147 0.750 0.212 [2 per cell]
3 Nd 0.274 0.250 0.991 [2 per cell]
4 Dy 0.441 0.250 0.605 [2 per cell]
5 Hg 0.036 0.750 0.915 [2 per cell]
6 Hg 0.166 0.250 0.699 [2 per cell]
7 Hg 0.268 0.750 0.502 [2 per cell]
8 Hg 0.351 0.250 0.312 [2 per cell]
9 Hg 0.358 0.750 0.811 [2 per cell]
10 Hg 0.440 0.750 0.113 [2 per cell]

(2)
Crystalline AlBrCl3 at its relaxed geometry, computed with PBE.

Uncorrected formation energy in eV/f.u.: -3.0
Energy relative to the lowest polymorph listed for this composition in kJ per mole of atoms: 54.7

a = 4.797 Å, b = 4.797 Å, c = 4.797 Å
α = 90.00°, β = 90.00°, γ = 90.00°
Space group Pm-3m (No. 221)
One atom of each set of equivalent atoms:
1 Al 0.000 0.000 0.000 [1 per cell]
2 Br 0.500 0.500 0.500 [1 per cell]
3 Cl 0.000 0.000 0.500 [3 per cell]

(3)
Crystalline NdPa2Pt4 at its relaxed geometry, computed with PBE.

Energy of formation from the pure elements in meV/atom: -884.1

a = 3.711 Å, b = 16.892 Å, c = 10.181 Å
α = 90.00°, β = 99.20°, γ = 90.00°
Space group C2/c (No. 15)
One atom of each set of equivalent atoms:
1 Nd 0.000 0.045 0.250 [4 per cell]
2 Pa 0.108 0.149 0.949 [8 per cell]
3 Pt 0.000 0.403 0.250 [4 per cell]
4 Pt 0.000 0.500 0.000 [4 per cell]
5 Pt 0.188 0.297 0.641 [8 per cell]

(4)
Crystalline ErTm3Te4 at its relaxed geometry, computed with PBE.

Uncorrected formation energy in eV/f.u.: -9.4
Energy relative to the lowest polymorph listed for this composition in kJ per mole of atoms: 0.0

a = 7.486 Å, b = 8.510 Å, c = 7.492 Å
α = 90.00°, β = 109.09°, γ = 90.00°
Space group P2/c (No. 13)
One atom of each set of equivalent atoms:
1 Er 0.000 0.128 0.250 [2 per cell]
2 Tm 0.000 0.373 0.750 [2 per cell]
3 Tm 0.500 0.126 0.750 [2 per cell]
4 Tm 0.500 0.370 0.250 [2 per cell]
5 Te 0.250 0.123 0.999 [4 per cell]
6 Te 0.252 0.378 0.502 [4 per cell]

(5)
Crystalline Li2Ga5NiRu2 at its relaxed geometry, computed with PBE.

Energy of formation from the pure elements in meV/atom: -288.5

a = 10.479 Å, b = 10.479 Å, c = 2.922 Å
α = 90.00°, β = 90.00°, γ = 90.00°
Space group P4/mbm (No. 127)
One atom of each set of equivalent atoms:
1 Li 0.170 0.330 0.000 [4 per cell]
2 Ga 0.000 0.500 0.500 [2 per cell]
3 Ga 0.066 0.817 0.500 [8 per cell]
4 Ni 0.000 0.000 0.000 [2 per cell]
5 Ru 0.137 0.637 0.000 [4 per cell]

(6)
Crystalline CaAcTl2 at its relaxed geometry, computed with PBE.

Energy of formation from the pure elements in meV/atom: -242.3

a = 3.9930 Å, b = 3.9930 Å, c = 30.4601 Å
α = 90.00°, β = 90.00°, γ = 120.00°
Space group R-3m (No. 166, hexagonal axes)
One atom of each set of equivalent atoms:
1 Ca 0.0000 0.0000 0.0000 [3 per cell]
2 Ac 0.0000 0.0000 0.5000 [3 per cell]
3 Tl 0.0000 0.0000 0.2543 [6 per cell]

(7)
Crystalline Cs2InAsBr6 at its relaxed geometry, computed with PBE.

Uncorrected formation energy in eV/f.u.: -10.7

a = 11.493 Å, b = 11.493 Å, c = 11.493 Å
α = 90.00°, β = 90.00°, γ = 90.00°
Space group Fm-3m (No. 225)
One atom of each set of equivalent atoms:
1 Cs 0.250 0.250 0.250 [8 per cell]
2 In 0.000 0.000 0.000 [4 per cell]
3 As 0.000 0.000 0.500 [4 per cell]
4 Br 0.000 0.000 0.265 [24 per cell]

(8)
Crystalline LiCrTc2 at its relaxed geometry, computed with PBE.

Energy of formation from the pure elements in meV/atom: 231.8
Energy relative to the lowest polymorph listed for this composition in kJ per mole of atoms: 4.5

a = 2.7053 Å, b = 2.7053 Å, c = 26.6698 Å
α = 90.00°, β = 90.00°, γ = 120.00°
Space group R-3m (No. 166, hexagonal axes)
One atom of each set of equivalent atoms:
1 Li 0.0000 0.0000 0.0000 [3 per cell]
2 Cr 0.0000 0.0000 0.5000 [3 per cell]
3 Tc 0.0000 0.0000 0.2431 [6 per cell]

(9)
Crystalline ScCuAg2 at its relaxed geometry, computed with PBE.

Energy of formation from the pure elements in meV/atom: -58.2
Energy relative to the lowest polymorph listed for this composition in kJ per mole of atoms: 8.6

a = 3.135 Å, b = 4.213 Å, c = 5.679 Å
α = 90.00°, β = 105.69°, γ = 90.00°
Space group Pm (No. 6)
One atom of each set of equivalent atoms:
1 Sc 0.000 0.000 0.000 [1 per cell]
2 Cu 0.409 0.500 0.810 [1 per cell]
3 Ag 0.264 0.000 0.534 [1 per cell]
4 Ag 0.654 0.500 0.309 [1 per cell]

(10)
Crystalline CuHgPbO2 at its relaxed geometry, computed with PBE.

Uncorrected formation energy in eV/f.u.: 0.8

a = 4.176 Å, b = 4.176 Å, c = 5.861 Å
α = 90.00°, β = 90.00°, γ = 90.00°
Space group P4/mmm (No. 123)
One atom of each set of equivalent atoms:
1 Cu 0.000 0.000 0.000 [1 per cell]
2 Hg 0.500 0.500 0.000 [1 per cell]
3 Pb 0.000 0.000 0.500 [1 per cell]
4 O 0.000 0.500 0.500 [2 per cell]

(11)
Crystalline Sc3SnN at its relaxed geometry, computed with PBE.

Uncorrected formation energy in eV/f.u.: -5.4

a = 4.425 Å, b = 4.426 Å, c = 18.779 Å
α = 90.00°, β = 90.00°, γ = 90.00°
Space group Imma (No. 74)
One atom of each set of equivalent atoms:
1 Sc 0.000 0.250 0.055 [4 per cell]
2 Sc 0.000 0.250 0.570 [4 per cell]
3 Sc 0.000 0.250 0.814 [4 per cell]
4 Sn 0.000 0.250 0.320 [4 per cell]
5 N 0.000 0.250 0.934 [4 per cell]

(12)
Crystalline NiW2Au at its relaxed geometry, computed with PBE.

Energy of formation from the pure elements in meV/atom: 355.4
Energy relative to the lowest polymorph listed for this composition in kJ per mole of atoms: 18.1

a = 3.984 Å, b = 3.984 Å, c = 7.704 Å
α = 90.00°, β = 90.00°, γ = 90.00°
Space group I-4m2 (No. 119)
One atom of each set of equivalent atoms:
1 Ni 0.000 0.000 0.000 [2 per cell]
2 W 0.000 0.000 0.500 [2 per cell]
3 W 0.000 0.500 0.250 [2 per cell]
4 Au 0.000 0.500 0.750 [2 per cell]

(13)
Crystalline CsRb2Se4 at its relaxed geometry, computed with PBE.

Uncorrected formation energy in eV/f.u.: -5.4

a = 21.628 Å, b = 5.275 Å, c = 9.945 Å
α = 90.00°, β = 99.76°, γ = 90.00°
Space group C2/c (No. 15)
One atom of each set of equivalent atoms:
1 Cs 0.000 0.237 0.250 [4 per cell]
2 Rb 0.182 0.477 0.726 [8 per cell]
3 Se 0.094 0.232 0.955 [8 per cell]
4 Se 0.188 0.004 0.476 [8 per cell]

(14)
Crystalline TiV2GeN at its relaxed geometry, computed with PBE.

Uncorrected formation energy in eV/f.u.: -1.7
Energy relative to the lowest polymorph listed for this composition in kJ per mole of atoms: 34.6

a = 3.823 Å, b = 3.823 Å, c = 4.689 Å
α = 90.00°, β = 90.00°, γ = 90.00°
Space group P4/mmm (No. 123)
One atom of each set of equivalent atoms:
1 Ti 0.000 0.000 0.000 [1 per cell]
2 V 0.000 0.500 0.500 [2 per cell]
3 Ge 0.500 0.500 0.000 [1 per cell]
4 N 0.500 0.500 0.500 [1 per cell]

(15)
Crystalline HfNb2Tc2 at its relaxed geometry, computed with PBE.

Energy of formation from the pure elements in meV/atom: 51.1
Energy relative to the lowest polymorph listed for this composition in kJ per mole of atoms: 13.7

a = 7.506 Å, b = 7.506 Å, c = 3.186 Å
α = 90.00°, β = 90.00°, γ = 90.00°
Space group P4/mbm (No. 127)
One atom of each set of equivalent atoms:
1 Hf 0.000 0.000 0.000 [2 per cell]
2 Nb 0.157 0.343 0.500 [4 per cell]
3 Tc 0.144 0.644 0.000 [4 per cell]

(16)
Crystalline PmYGaSn at its relaxed geometry, computed with PBE.

Energy of formation from the pure elements in meV/atom: -726.4
Energy relative to the lowest polymorph listed for this composition in kJ per mole of atoms: 0.0

a = 4.205 Å, b = 4.526 Å, c = 11.319 Å
α = 90.00°, β = 90.00°, γ = 90.00°
Space group Amm2 (No. 38)
One atom of each set of equivalent atoms:
1 Pm 0.000 0.000 0.000 [2 per cell]
2 Y 0.500 0.000 0.279 [2 per cell]
3 Ga 0.500 0.000 0.552 [2 per cell]
4 Sn 0.000 0.000 0.716 [2 per cell]

(17)
Crystalline Ba2Na2LiAg4 at its relaxed geometry, computed with PBE.

Energy of formation from the pure elements in meV/atom: -109.4

a = 7.588 Å, b = 7.588 Å, c = 9.094 Å
α = 90.00°, β = 90.00°, γ = 90.00°
Space group I4/mmm (No. 139)
One atom of each set of equivalent atoms:
1 Ba 0.000 0.500 0.250 [4 per cell]
2 Na 0.000 0.000 0.176 [4 per cell]
3 Li 0.000 0.000 0.500 [2 per cell]
4 Ag 0.243 0.243 0.500 [8 per cell]

(18)
Crystalline TlAgS2 at its relaxed geometry, computed with PBE.

Uncorrected formation energy in eV/f.u.: 0.4

a = 6.796 Å, b = 6.796 Å, c = 8.970 Å
α = 90.00°, β = 90.00°, γ = 90.00°
Space group I4/mcm (No. 140)
One atom of each set of equivalent atoms:
1 Tl 0.000 0.000 0.250 [4 per cell]
2 Ag 0.000 0.500 0.250 [4 per cell]
3 S 0.119 0.381 0.000 [8 per cell]

(19)
Crystalline Cs5CdIn6 at its relaxed geometry, computed with PBE.

Energy of formation from the pure elements in meV/atom: -58.0

a = 8.362 Å, b = 17.927 Å, c = 9.082 Å
α = 90.00°, β = 114.76°, γ = 90.00°
Space group C2/m (No. 12)
One atom of each set of equivalent atoms:
1 Cs 0.000 0.000 0.000 [2 per cell]
2 Cs 0.000 0.269 0.000 [4 per cell]
3 Cs 0.000 0.356 0.500 [4 per cell]
4 Cd 0.000 0.000 0.500 [2 per cell]
5 In 0.107 0.138 0.679 [8 per cell]
6 In 0.152 0.500 0.180 [4 per cell]

(20)
Crystalline BaInP3 at its relaxed geometry, computed with PBE.

Energy of formation from the pure elements in meV/atom: 196.5

a = 5.145 Å, b = 5.145 Å, c = 5.145 Å
α = 90.00°, β = 90.00°, γ = 90.00°
Space group Pm-3m (No. 221)
One atom of each set of equivalent atoms:
1 Ba 0.000 0.000 0.000 [1 per cell]
2 In 0.500 0.500 0.500 [1 per cell]
3 P 0.000 0.500 0.500 [3 per cell]

One value per record, in order, for magnetization: 0.00, 1.03, 0.00, 0.00, 0.00, 0.00, 0.00, 0.00, 0.00, 0.16, 0.00, 0.00, 0.00, 0.00, 0.00, 0.00, 0.00, 0.00, 0.00, 0.00 μB per cell.
One value per record, in order, for total DFT energy (no corrections): -50.06, -13.98, -216.45, -79.93, -92.36, -35.43, -119.46, -94.03, -16.36, -17.19, -147.00, -67.09, -88.59, -40.74, -101.14, -42.30, -41.57, -52.25, -44.62, -19.91 eV per cell.